The following is a DFT calculation (PBE with a Hubbard U) of a relaxed structure of RbMn2PbF8.

As for the volume: 21.20 Å³ per atom. For the total energy, the calculation gives -63.4 eV for the cell shown.

a = 5.9351 Å, b = 5.9351 Å, c = 8.3398 Å
α = 90.00°, β = 90.00°, γ = 120.00°
Space group P-3 (No. 147)
Inequivalent atoms, fractional coordinates:
Rb1 0.0000 0.0000 0.0000 (multiplicity 1)
Mn1 0.3333 0.6667 0.7822 (multiplicity 2)
Pb1 0.0000 0.0000 0.5000 (multiplicity 1)
F1 0.0843 0.3253 0.6885 (multiplicity 6)
F2 0.3333 0.6667 0.0113 (multiplicity 2)